[1]
Zn2SeBr | GGA-PBE | optimized geometry

* total energy: -2.260 eV per atom
* offset from the most stable computed form: 28 meV per atom
* crystal system: orthorhombic

abc: 5.313 4.159 4.155
angles: 80.02 90.00 90.00
Sites, in units of the cell vectors:
1 Zn 0.000 0.888 0.888
2 Zn 0.500 0.298 0.297
3 Br 0.000 0.411 0.412
4 Se 0.500 0.903 0.902

---

[2]
Ni6Mo2Pt | GGA-PBE | optimized geometry

* total energy: -6.967 eV per atom
* crystal system: orthorhombic

abc: 3.762 5.607 5.980
angles: 83.94 71.67 70.40
Sites, in units of the cell vectors:
1 Ni 0.339 0.160 0.163
2 Ni 0.999 0.840 0.163
3 Ni 0.673 0.153 0.500
4 Ni 0.001 0.160 0.837
5 Ni 0.327 0.847 0.500
6 Ni 0.661 0.840 0.837
7 Mo 0.333 0.500 0.834
8 Mo 0.667 0.500 0.166
9 Pt 0.000 0.500 0.500

---

[3]
In2RuRh | GGA-PBE | optimized geometry

* total energy: -5.290 eV per atom
* crystal system: cubic

abc: 4.623 4.623 4.623
angles: 60.00 60.00 60.00
Last column: magnetic moment on the atom in μB.
Sites, in units of the cell vectors:
1 In 0.000 0.000 0.000  -0.01
2 In 0.250 0.250 0.250  -0.01
3 Rh 0.500 0.500 0.500  0.28
4 Ru 0.750 0.750 0.750  0.56

---

[4]
CuP2CS | GGA-PBE | optimized geometry

* total energy: -4.446 eV per atom
* offset from the most stable computed form: 0 meV per atom
* crystal system: tetragonal

abc: 4.017 4.017 4.113
angles: 90.00 90.00 90.00
Sites, in units of the cell vectors:
1 C 0.000 0.000 0.000
2 Cu 0.500 0.500 0.500
3 S 0.000 0.000 0.500
4 P 0.000 0.500 0.000
5 P 0.500 0.000 0.000

---

[5]
LaPr2NdSe4 | GGA-PBE | optimized geometry

* total energy: -6.030 eV per atom
* crystal system: monoclinic

abc: 8.543 8.543 8.538
angles: 120.03 120.03 89.94
Sites, in units of the cell vectors:
1 Se 0.751 0.749 0.001
2 Se 0.752 0.252 0.002
3 Se 0.249 0.251 0.501
4 Se 0.752 0.252 0.502
5 Se 0.248 0.748 0.998
6 Se 0.751 0.749 0.499
7 Se 0.248 0.748 0.498
8 Se 0.249 0.251 0.999
9 La 0.500 0.500 0.500
10 La 0.000 0.000 0.000
11 Nd 0.000 0.500 0.500
12 Nd 0.000 0.500 0.000
13 Pr 0.500 0.000 0.000
14 Pr 0.500 0.500 0.000
15 Pr 0.000 0.000 0.500
16 Pr 0.500 0.000 0.500

---

[6]
Mn2VNiRh | GGA-PBE | optimized geometry

* total energy: -6.951 eV per atom
* crystal system: tetragonal

abc: 4.082 4.268 4.082
angles: 90.00 90.00 90.00
Sites, in units of the cell vectors:
1 Rh 0.500 0.500 0.500
2 Mn 0.500 0.000 0.000
3 Mn 0.000 0.000 0.500
4 V 0.000 0.000 0.000
5 Ni 0.000 0.500 0.000

---

[7]
Ca3TbS4 | GGA-PBE | optimized geometry

* total energy: -5.494 eV per atom
* crystal system: orthorhombic

abc: 3.991 6.934 6.934
angles: 109.38 90.00 90.00
Sites, in units of the cell vectors:
1 Tb 0.500 0.000 0.000
2 S 0.000 0.754 0.754
3 S 0.500 0.247 0.753
4 S 0.000 0.246 0.246
5 S 0.500 0.753 0.247
6 Ca 0.500 0.500 0.500
7 Ca 0.000 0.500 0.000
8 Ca 0.000 0.000 0.500

---

[8]
TlAs2Cl | GGA-PBE | optimized geometry

* total energy: -3.535 eV per atom
* offset from the most stable computed form: 208 meV per atom
* crystal system: orthorhombic

abc: 6.394 6.394 6.394
angles: 147.15 115.96 73.87
Sites, in units of the cell vectors:
1 As 0.936 0.936 0.000
2 As 0.781 0.281 0.500
3 Tl 0.283 0.783 0.500
4 Cl 0.500 0.500 0.000

---

[9]
BaCa3Rh | GGA-PBE | optimized geometry

* total energy: -3.164 eV per atom
* offset from the most stable computed form: 120 meV per atom
* crystal system: trigonal

abc: 9.814 9.814 9.814
angles: 43.32 43.32 43.32
Sites, in units of the cell vectors:
1 Ca 0.379 0.164 0.807
2 Ca 0.621 0.836 0.193
3 Ca 0.164 0.807 0.379
4 Ca 0.836 0.193 0.621
5 Ca 0.193 0.621 0.836
6 Ca 0.807 0.379 0.164
7 Rh 0.805 0.805 0.805
8 Rh 0.195 0.195 0.195
9 Ba 0.313 0.313 0.313
10 Ba 0.687 0.687 0.687

---

[10]
Er8ThMg2 | GGA-PBE | optimized geometry

* total energy: -4.262 eV per atom
* crystal system: monoclinic

abc: 4.978 7.838 9.086
angles: 106.37 105.90 90.00
Sites, in units of the cell vectors:
1 Er 0.407 0.544 0.814
2 Er 0.862 0.808 0.725
3 Er 0.048 0.734 0.096
4 Er 0.318 0.076 0.636
5 Er 0.952 0.266 0.904
6 Er 0.138 0.192 0.275
7 Er 0.682 0.924 0.364
8 Er 0.593 0.456 0.186
9 Mg 0.228 0.636 0.456
10 Mg 0.772 0.364 0.544
11 Th 0.500 0.000 0.000

---

[11]
Na12Sn2Hg5 | GGA-PBE | optimized geometry

* total energy: -1.510 eV per atom
* crystal system: monoclinic

abc: 10.653 8.272 8.441
angles: 80.80 90.00 130.08
Sites, in units of the cell vectors:
1 Na 0.603 0.205 0.247
2 Na 0.397 0.795 0.753
3 Na 0.004 0.354 0.192
4 Na 0.100 0.201 0.844
5 Na 0.156 0.784 0.389
6 Na 0.372 0.216 0.611
7 Na 0.900 0.799 0.156
8 Na 0.628 0.784 0.389
9 Na 0.844 0.216 0.611
10 Na 0.996 0.646 0.808
11 Na 0.650 0.646 0.808
12 Na 0.350 0.354 0.192
13 Hg 0.243 0.486 0.496
14 Hg 0.624 0.247 0.855
15 Hg 0.000 0.000 0.500
16 Hg 0.376 0.753 0.145
17 Hg 0.757 0.514 0.504
18 Sn 0.728 0.000 0.000
19 Sn 0.272 0.000 0.000

---

[12]
CoBBr3 | GGA-PBE | optimized geometry

* total energy: -2.898 eV per atom
* offset from the most stable computed form: 0 meV per atom
* crystal system: cubic

abc: 4.945 4.945 4.945
angles: 90.00 90.00 90.00
Last column: magnetic moment on the atom in μB.
Sites, in units of the cell vectors:
1 Br 0.500 0.000 0.000  0.03
2 Br 0.000 0.500 0.000  0.03
3 Br 0.000 0.000 0.500  0.03
4 B 0.500 0.500 0.500  -0.02
5 Co 0.000 0.000 0.000  1.63

---

[13]
RbOsPb2 | GGA-PBE | optimized geometry

* total energy: -3.978 eV per atom
* offset from the most stable computed form: 375 meV per atom
* crystal system: cubic

abc: 5.207 5.207 5.207
angles: 60.00 60.00 60.00
Sites, in units of the cell vectors:
1 Os 0.500 0.500 0.500
2 Pb 0.250 0.250 0.250
3 Pb 0.750 0.750 0.750
4 Rb 0.000 0.000 0.000

---

[14]
Pr2NdBi | GGA-PBE | optimized geometry

* total energy: -4.995 eV per atom
* offset from the most stable computed form: 5 meV per atom
* crystal system: tetragonal

abc: 5.036 5.024 5.024
angles: 90.00 90.00 90.00
Sites, in units of the cell vectors:
1 Bi 0.500 0.000 0.000
2 Nd 0.500 0.500 0.500
3 Pr 0.000 0.000 0.500
4 Pr 0.000 0.500 0.000

---

[15]
Er3Ge3Rh | GGA-PBE | optimized geometry

* total energy: -5.902 eV per atom
* offset from the most stable computed form: 0 meV per atom
* crystal system: monoclinic

abc: 4.249 5.686 13.205
angles: 84.12 80.74 68.06
Sites, in units of the cell vectors:
1 Er 0.259 0.251 0.231
2 Er 0.398 0.281 0.922
3 Er 0.741 0.749 0.769
4 Er 0.602 0.719 0.078
5 Er 0.472 0.677 0.379
6 Er 0.528 0.323 0.621
7 Rh 0.754 0.096 0.395
8 Rh 0.246 0.904 0.605
9 Ge 0.122 0.831 0.925
10 Ge 0.032 0.169 0.767
11 Ge 0.134 0.273 0.458
12 Ge 0.866 0.727 0.542
13 Ge 0.968 0.831 0.233
14 Ge 0.878 0.169 0.075

---

[16]
PmSm3Tm2 | GGA-PBE | optimized geometry

* total energy: -4.513 eV per atom
* offset from the most stable computed form: 109 meV per atom
* crystal system: monoclinic

abc: 6.362 7.278 9.951
angles: 111.34 108.65 89.99
Sites, in units of the cell vectors:
1 Sm 0.184 0.435 0.368
2 Sm 0.816 0.565 0.632
3 Sm 0.184 0.935 0.368
4 Sm 0.750 0.750 0.000
5 Sm 0.816 0.065 0.632
6 Sm 0.250 0.250 0.000
7 Pm 0.752 0.250 0.000
8 Pm 0.248 0.750 0.000
9 Tm 0.354 0.855 0.709
10 Tm 0.646 0.145 0.291
11 Tm 0.645 0.645 0.291
12 Tm 0.355 0.355 0.709

---

[17]
TlInSn2I8 | GGA-PBE | optimized geometry

* total energy: -2.590 eV per atom
* crystal system: triclinic

abc: 7.695 7.282 9.502
angles: 89.94 90.01 88.59
Sites, in units of the cell vectors:
1 Tl 0.000 0.000 0.500
2 I 0.359 0.276 0.500
3 I 0.641 0.724 0.500
4 I 0.676 0.767 0.000
5 I 0.155 0.757 0.782
6 I 0.846 0.245 0.781
7 I 0.845 0.243 0.218
8 I 0.324 0.233 0.000
9 I 0.154 0.755 0.219
10 Sn 0.501 0.500 0.755
11 Sn 0.499 0.500 0.245
12 In 0.000 0.000 0.000

---

[18]
AcCdNiAg | GGA-PBE | optimized geometry

* total energy: -3.491 eV per atom
* crystal system: cubic

abc: 5.101 5.101 5.101
angles: 60.00 60.00 60.00
Sites, in units of the cell vectors:
1 Ac 0.250 0.250 0.250
2 Ag 0.500 0.500 0.500
3 Cd 0.750 0.750 0.750
4 Ni 0.000 0.000 0.000

---

[19]
Li6GaF12 | GGA-PBE | optimized geometry

* total energy: -4.314 eV per atom
* crystal system: trigonal

abc: 5.951 5.951 5.951
angles: 92.41 92.41 92.41
Last column: magnetic moment on the atom in μB.
Sites, in units of the cell vectors:
1 Li 0.895 0.771 0.437  0.00
2 Li 0.105 0.229 0.563  0.00
3 Li 0.563 0.105 0.229  0.00
4 Li 0.437 0.895 0.771  0.00
5 Li 0.229 0.563 0.105  0.00
6 Li 0.771 0.437 0.895  0.00
7 F 0.078 0.303 0.929  0.00
8 F 0.071 0.922 0.697  0.00
9 F 0.922 0.697 0.071  0.00
10 F 0.526 0.442 0.155  0.47
11 F 0.442 0.155 0.526  0.47
12 F 0.845 0.474 0.558  0.47
13 F 0.474 0.558 0.845  0.47
14 F 0.303 0.929 0.078  0.00
15 F 0.697 0.071 0.922  0.00
16 F 0.929 0.078 0.303  0.00
17 F 0.155 0.526 0.442  0.47
18 F 0.558 0.845 0.474  0.47
19 Ga 0.000 0.000 0.000  0.00

---

[20]
TbTm5Th4 | GGA-PBE | optimized geometry

* total energy: -5.275 eV per atom
* offset from the most stable computed form: 163 meV per atom
* crystal system: orthorhombic

abc: 8.523 11.668 6.665
angles: 90.00 90.00 90.00
Sites, in units of the cell vectors:
1 Tm 0.184 0.217 0.241
2 Tm 0.184 0.783 0.241
3 Tm 0.209 0.000 0.500
4 Tm 0.791 0.500 0.000
5 Tm 0.816 0.283 0.741
6 Tm 0.816 0.717 0.259
7 Tm 0.816 0.283 0.259
8 Tm 0.184 0.217 0.759
9 Tm 0.816 0.717 0.741
10 Tm 0.184 0.783 0.759
11 Th 0.138 0.500 0.752
12 Th 0.138 0.500 0.248
13 Th 0.532 0.854 0.500
14 Th 0.468 0.354 0.000
15 Th 0.862 0.000 0.748
16 Th 0.468 0.646 0.000
17 Th 0.862 0.000 0.252
18 Th 0.532 0.146 0.500
19 Tb 0.543 0.500 0.500
20 Tb 0.457 0.000 0.000